## BaNaAuCl (PBE-GGA)

Data for BaNaAuCl after structural relaxation.

Summary:
Calculated density: 5.53 g/cm³
Formation energy without anion corrections: -4.08 eV/f.u.

Structure (CIF):
```
data_BaNaAuCl
_space_group_name_H-M_alt 'F -4 3 m'
_space_group_IT_number 216
_space_group_name_Hall 'F -4 2 3'
_cell_length_a 7.784
_cell_length_b 7.784
_cell_length_c 7.784
_cell_angle_alpha 90.00
_cell_angle_beta 90.00
_cell_angle_gamma 90.00
loop_
_atom_site_label
_atom_site_type_symbol
_atom_site_fract_x
_atom_site_fract_y
_atom_site_fract_z
Ba1 Ba 0.000 0.000 0.000
Na1 Na 0.000 0.000 0.500
Au1 Au 0.250 0.250 0.250
Cl1 Cl 0.250 0.250 0.750
```



## Cs5BO6 (PBE-GGA)

Data for Cs5BO6 after structural relaxation.

Summary:
Calculated density: 3.90 g/cm³
Formation energy without anion corrections: -13.51 eV/f.u.

Structure (CIF):
```
data_Cs5BO6
_space_group_name_H-M_alt 'C 1 2/m 1'
_space_group_IT_number 12
_space_group_name_Hall '-C 2y'
_cell_length_a 7.020
_cell_length_b 13.763
_cell_length_c 6.801
_cell_angle_alpha 90.00
_cell_angle_beta 90.54
_cell_angle_gamma 90.00
loop_
_atom_site_label
_atom_site_type_symbol
_atom_site_fract_x
_atom_site_fract_y
_atom_site_fract_z
Cs1 Cs 0.000 0.000 0.000
Cs2 Cs 0.000 0.174 0.500
Cs3 Cs 0.000 0.343 0.000
B1 B 0.000 0.500 0.500
O1 O 0.121 0.500 0.641
O2 O 0.162 0.175 0.760
```



## La8Tc2Ge (PBE-GGA)

Data for La8Tc2Ge after structural relaxation.

Summary:
Calculated density: 6.79 g/cm³
Formation enthalpy at 0 K: -78.9 meV/atom

Structure (CIF):
```
data_La8Tc2Ge
_space_group_name_H-M_alt 'C 1 m 1'
_space_group_IT_number 8
_space_group_name_Hall 'C -2y'
_cell_length_a 8.933
_cell_length_b 13.634
_cell_length_c 5.768
_cell_angle_alpha 90.00
_cell_angle_beta 106.02
_cell_angle_gamma 90.00
loop_
_atom_site_label
_atom_site_type_symbol
_atom_site_fract_x
_atom_site_fract_y
_atom_site_fract_z
La1 La 0.000 0.000 0.000
La2 La 0.079 0.374 0.761
La3 La 0.181 0.126 0.635
La4 La 0.260 0.500 0.397
La5 La 0.381 0.239 0.199
Tc1 Tc 0.379 0.301 0.697
Ge1 Ge 0.380 0.000 0.201
```